Entry from Alexandria via LeMat-Bulk: a relaxed La2Ru2Se crystal (PBE-GGA).

Cell lengths 8.094, 8.094, 4.004 Å; angles 90.00, 90.00, 90.00 degrees
Space group P4/mbm (No. 127)
Asymmetric unit:
La  0.176  0.324  0.000 x4
Ru  0.103  0.603  0.500 x4
Se  0.000  0.000  0.000 x2

Output
uncorrected formation energy	-0.13	eV/atom
V	262.33	Å³ per cell